Entry from Alexandria: crystalline Na2TmCrSe4 at its relaxed geometry (PBE-GGA).

energy relative to the elements, uncorrected = -1208 meV/atom
symmetry = No. 10

a = 3.950 Å, b = 6.777 Å, c = 7.346 Å
α = 108.22°, β = 90.00°, γ = 90.00°
Site moments in Bohr magnetons follow the coordinates.
Fractional coordinates of all 8 atoms:
Cr 0.500 0.500 0.000  3.02
Se 0.500 0.260 0.222  -0.03
Se 0.000 0.714 0.207  -0.07
Se 0.000 0.286 0.793  -0.07
Se 0.500 0.740 0.778  -0.03
Na 0.500 0.000 0.500  0.00
Na 0.000 0.500 0.500  0.00
Tm 0.000 0.000 0.000  0.03

Entry from Alexandria: crystalline OsS2N at its relaxed geometry (PBE-GGA).

energy relative to the elements, uncorrected = 1046 meV/atom
symmetry = No. 122

a = 5.190 Å, b = 5.190 Å, c = 5.957 Å
α = 64.18°, β = 64.18°, γ = 90.00°
Fractional coordinates of all 8 atoms:
S 0.375 0.393 0.750
S 0.607 0.125 0.250
S 0.143 0.625 0.250
S 0.875 0.857 0.750
Os 0.750 0.250 0.500
Os 0.000 0.000 0.000
N 0.500 0.500 0.000
N 0.250 0.750 0.500